Material: Dy2NiP3Ir4
Method: DFT, PBE-GGA
State: relaxed

Properties
* calculated formation energy: -86.88 kJ per mole of atoms
* SG: No. 115

Lattice parameters (Å, degrees): 4.0640 4.0640 9.7955 90.00 90.00 90.00
Atoms (fractional coordinates):
Dy 0.0000 0.5000 0.7419
Dy 0.5000 0.0000 0.2581
Ir 0.0000 0.0000 0.0000
Ir 0.0000 0.5000 0.3694
Ir 0.5000 0.0000 0.6306
Ir 0.5000 0.5000 0.0000
P 0.0000 0.5000 0.1388
P 0.5000 0.0000 0.8612
P 0.0000 0.0000 0.5000
Ni 0.5000 0.5000 0.5000

***

Material: CdFe2I6
Method: DFT, PBE-GGA
State: relaxed

Properties
* formation energy (no corrections): -0.26 eV/atom
* SG: No. 15

Lattice parameters (Å, degrees): 7.2713 11.8511 11.8511 83.04 63.89 63.89
Atoms (fractional coordinates):
I 0.3392 0.0167 0.2066
I 0.6351 0.3098 0.4323
I 0.1608 0.7934 0.9833
I 0.1566 0.1708 0.5993
I 0.8434 0.8292 0.4007
I 0.8392 0.2066 0.0167
I 0.3434 0.4007 0.8292
I 0.6608 0.9833 0.7934
I 0.3649 0.6902 0.5677
I 0.8649 0.5677 0.6902
I 0.6566 0.5993 0.1708
I 0.1351 0.4323 0.3098
Cd 0.2500 0.0001 0.9999
Cd 0.7500 0.9999 0.0001
Fe 0.8126 0.6301 0.4766
Fe 0.3126 0.4766 0.6301
Fe 0.6874 0.5234 0.3699
Fe 0.1874 0.3699 0.5234

***

Computed final energy, in the same sequence as the records: -75.66, -58.89 eV for the cell shown.